Entry 1:
Li2ZrPd2, optimized geometry, DFT GGA-PBEsol; polymorph energy (0 for the lowest one) = 9.5 meV per atom; formation energy from the elements = -0.391 eV/atom
1.0
7.192 0.000 0.000
0.000 7.192 0.000
0.000 0.000 2.829
Li Zr Pd
4 2 4
Direct
0.110 0.390 0.000
0.390 0.890 0.000
0.610 0.110 0.000
0.890 0.610 0.000
0.000 0.000 0.000
0.500 0.500 0.000
0.189 0.689 0.500
0.311 0.189 0.500
0.689 0.811 0.500
0.811 0.311 0.500

Entry 2:
GaBi2IrOs, optimized geometry, DFT GGA-PBEsol; formation energy from the elements = 1.301 eV/atom
1.0
5.217 0.000 0.000
0.000 5.217 0.000
0.000 0.000 4.569
Ga Bi Ir Os
1 2 1 1
Direct
0.000 0.000 0.000
0.000 0.500 0.500
0.500 0.000 0.500
0.000 0.000 0.500
0.500 0.500 0.000

Entry 3:
Nb3BiB, optimized geometry, DFT GGA-PBEsol; formation energy from the elements = 2.921 eV/atom
1.0
5.084 0.000 0.000
0.000 5.084 0.000
0.000 0.000 5.084
Nb Bi B
3 1 1
Direct
0.000 0.000 0.500
0.000 0.500 0.000
0.500 0.000 0.000
0.000 0.000 0.000
0.500 0.500 0.500

| no. | magnetic moment (μB per cell) |
| --- | --- |
| 1 | 0.000 |
| 2 | 1.489 |
| 3 | 0.001 |